[1]
This record from Alexandria describes a relaxed structure of LaY3Ru. The functional is GGA-PBE.

Cell: 6.976 7.141 7.269 Å, 64.82 89.24 70.79°
Space group P-1 (No. 2)
Asymmetric unit:
La 0.210 0.260 0.423
Y 0.172 0.801 0.904
Y 0.287 0.742 0.396
Y 0.311 0.275 0.937
Ru 0.471 0.432 0.225

**Energy above the most stable polymorph in this dataset**: 9 meV/atom
**V**: 30.6 Å³/atom
**Electronic total energy**: -6.896 eV per atom

---

[2]
This record from Alexandria describes a relaxed structure of KNpPbSe3. The functional is GGA-PBE.

Cell: 8.929 4.298 11.070 Å, 90.00 99.72 90.00°
Space group P2_1/m (No. 11)
Asymmetric unit:
K 0.159 0.250 0.170
Np 0.364 0.750 0.857
Pb 0.160 0.250 0.581
Se 0.133 0.250 0.836
Se 0.366 0.750 0.596
Se 0.417 0.750 0.121

**Formation energy without anion corrections**: -0.945 eV per atom
**V**: 34.9 Å³/atom
**Electronic total energy**: -5.645 eV per atom

---

[3]
This record from Alexandria describes a relaxed structure of BaMnAs2S8. The functional is GGA-PBE.

Cell: 6.0391 6.0391 8.8698 Å, 90.00 90.00 120.00°
Space group P-3 (No. 147)
Asymmetric unit:
Ba 0.0000 0.0000 0.0000
Mn 0.0000 0.0000 0.5000
As 0.3333 0.6667 0.7183
S 0.0197 0.7077 0.3380
S 0.3333 0.6667 0.9603

**Formation energy without anion corrections**: -0.442 eV per atom
**V**: 23.3 Å³/atom
**Electronic total energy**: -4.893 eV per atom

---

[4]
This record from Alexandria describes a relaxed structure of Na3BOs. The functional is GGA-PBE.

Cell: 4.918 4.918 4.918 Å, 90.00 90.00 90.00°
Space group Pm-3m (No. 221)
Asymmetric unit:
Na 0.000 0.000 0.500
B 0.000 0.000 0.000
Os 0.500 0.500 0.500

**Energy above the most stable polymorph in this dataset**: 0 meV/atom
**V**: 23.8 Å³/atom
**Electronic total energy**: -2.530 eV per atom

---

[5]
This record from Alexandria describes a relaxed structure of Ho4Ru2Au. The functional is GGA-PBE.

Cell: 4.8490 4.8490 23.5308 Å, 90.00 90.00 120.00°
Space group R-3m (No. 166, hexagonal axes)
Asymmetric unit:
Ho 0.0000 0.0000 0.1200
Ho 0.0000 0.0000 0.3713
Ru 0.0000 0.0000 0.2483
Au 0.0000 0.0000 0.5000

**Energy above the most stable polymorph in this dataset**: 0 meV/atom
**V**: 22.8 Å³/atom
**Electronic total energy**: -6.220 eV per atom

---

[6]
This record from Alexandria describes a relaxed structure of LiSc2CuC. The functional is GGA-PBE.

Cell: 4.476 4.476 4.024 Å, 90.00 90.00 90.00°
Space group P4/mmm (No. 123)
Asymmetric unit:
Li 0.000 0.000 0.000
Sc 0.000 0.500 0.500
Cu 0.500 0.500 0.000
C 0.000 0.000 0.500

**Energy above the most stable polymorph in this dataset**: 0 meV/atom
**V**: 16.1 Å³/atom
**Electronic total energy**: -5.693 eV per atom

---

[7]
This record from Alexandria describes a relaxed structure of Cu2Mo. The functional is GGA-PBE.

Cell: 4.604 4.604 2.497 Å, 90.00 90.00 90.00°
Space group P4/mmm (No. 123)
Asymmetric unit:
Cu 0.000 0.500 0.000
Mo 0.000 0.000 0.500

**V**: 17.6 Å³/atom
**Electronic total energy**: -5.569 eV per atom

---

[8]
This record from Alexandria describes a relaxed structure of VGaCu. The functional is GGA-PBE.

Cell: 4.1224 4.1224 18.0895 Å, 90.00 90.00 120.00°
Space group R-3m (No. 166, hexagonal axes)
Asymmetric unit:
V 0.0000 0.0000 0.2066
Ga 0.0000 0.0000 0.3849
Cu 0.0000 0.0000 0.0677

**V**: 14.8 Å³/atom
**Electronic total energy**: -5.153 eV per atom

---

[9]
This record from Alexandria describes a relaxed structure of Ba3Cd9Pb2. The functional is GGA-PBE.

Cell: 5.177 10.793 15.069 Å, 90.00 90.00 90.00°
Space group Immm (No. 71)
Asymmetric unit:
Ba 0.000 0.000 0.000
Ba 0.000 0.000 0.304
Cd 0.000 0.281 0.141
Cd 0.000 0.365 0.334
Cd 0.000 0.500 0.000
Pb 0.000 0.203 0.500

**V**: 30.1 Å³/atom
**Electronic total energy**: -1.812 eV per atom

---

[10]
This record from Alexandria describes a relaxed structure of YBOsF2. The functional is GGA-PBE.

Cell: 4.094 4.094 4.317 Å, 90.00 90.00 90.00°
Space group P4/mmm (No. 123)
Asymmetric unit:
Y 0.000 0.000 0.000
B 0.500 0.500 0.500
Os 0.500 0.500 0.000
F 0.000 0.500 0.500

**Formation energy without anion corrections**: -0.410 eV per atom
**V**: 14.5 Å³/atom
**Electronic total energy**: -6.033 eV per atom

---

[11]
This record from Alexandria describes a relaxed structure of KLiZr2. The functional is GGA-PBE.

Cell: 3.1474 3.1474 35.8480 Å, 90.00 90.00 120.00°
Space group R-3m (No. 166, hexagonal axes)
Asymmetric unit:
K 0.0000 0.0000 0.0000
Li 0.0000 0.0000 0.5000
Zr 0.0000 0.0000 0.2354

**Energy above the most stable polymorph in this dataset**: 290 meV/atom
**V**: 25.6 Å³/atom
**Electronic total energy**: -4.424 eV per atom

---

[12]
This record from Alexandria describes a relaxed structure of MnP2Pb. The functional is GGA-PBE.

Cell: 7.736 3.213 6.288 Å, 90.00 103.54 90.00°
Space group Cm (No. 8)
Asymmetric unit:
Mn 0.000 0.000 0.000
P 0.051 0.500 0.256
P 0.204 0.500 0.980
Pb 0.358 0.000 0.599

**V**: 19.0 Å³/atom
**Electronic total energy**: -5.960 eV per atom